1.
DFT (PBE-GGA) results for a relaxed Na6ZnAu2 crystal.

Cell: 10.340 10.340 10.340 Å, 29.08 29.08 29.08°
Fractional coordinates of all 9 atoms:
1 Na 0.077 0.077 0.077
2 Na 0.201 0.201 0.201
3 Na 0.310 0.310 0.310
4 Na 0.690 0.690 0.690
5 Na 0.799 0.799 0.799
6 Na 0.923 0.923 0.923
7 Zn 0.500 0.500 0.500
8 Au 0.413 0.413 0.413
9 Au 0.587 0.587 0.587

Summary:
**Energy**: -17.49 eV per cell
**Formation energy**: -0.194 eV/atom
**Density**: 4.3 g cm⁻³
**Total moment**: 0.0 μB per formula unit

---

2.
DFT (PBE-GGA) results for a relaxed BaCaVIn crystal.

Cell: 12.000 3.875 5.960 Å, 90.00 110.74 90.00°
Fractional coordinates of all 8 atoms:
1 Ba 0.000 0.000 0.000
2 Ba 0.500 0.500 0.000
3 Ca 0.300 0.500 0.347
4 Ca 0.800 0.000 0.347
5 V 0.234 0.000 0.765
6 V 0.734 0.500 0.765
7 In 0.058 0.500 0.541
8 In 0.558 0.000 0.541

Summary:
**Energy**: -29.45 eV per cell
**Formation energy**: 0.264 eV/atom
**Density**: 4.4 g cm⁻³
**Total moment**: 3.9 μB per formula unit

---

3.
DFT (PBE-GGA) results for a relaxed Ca2IrOs crystal.

Cell: 4.244 4.244 4.324 Å, 90.00 90.00 90.00°
Fractional coordinates of all 4 atoms:
1 Ca 0.000 0.500 0.000
2 Ca 0.500 0.000 0.000
3 Ir 0.000 0.000 0.500
4 Os 0.500 0.500 0.500

Summary:
**Energy**: -22.45 eV per cell
**Formation energy**: 0.412 eV/atom
**Density**: 9.9 g cm⁻³
**Total moment**: 0.8 μB per formula unit

---

4.
DFT (PBE-GGA) results for a relaxed YPt2 crystal.

Cell: 3.851 3.851 17.367 Å, 90.00 90.00 90.00°
Fractional coordinates of all 12 atoms:
1 Y 0.000 0.250 0.375
2 Y 0.000 0.750 0.625
3 Y 0.500 0.250 0.125
4 Y 0.500 0.750 0.875
5 Pt 0.000 0.250 0.800
6 Pt 0.000 0.250 0.950
7 Pt 0.000 0.750 0.050
8 Pt 0.000 0.750 0.200
9 Pt 0.500 0.250 0.550
10 Pt 0.500 0.250 0.700
11 Pt 0.500 0.750 0.300
12 Pt 0.500 0.750 0.450

Summary:
**Energy**: -85.59 eV per cell
**Formation energy**: -0.950 eV/atom
**Density**: 12.4 g cm⁻³
**Total moment**: 0.0 μB per formula unit

---

5.
DFT (PBE-GGA) results for a relaxed LaYTc2Os crystal.

Cell: 4.869 4.869 5.116 Å, 90.00 90.00 90.00°
Fractional coordinates of all 5 atoms:
1 La 0.000 0.000 0.000
2 Y 0.500 0.500 0.000
3 Tc 0.000 0.500 0.500
4 Tc 0.500 0.000 0.500
5 Os 0.500 0.500 0.500

Summary:
**Energy**: -40.16 eV per cell
**Formation energy**: 0.638 eV/atom
**Density**: 8.4 g cm⁻³
**Total moment**: 0.0 μB per formula unit

---

6.
DFT (PBE-GGA) results for a relaxed SmEr6Sc2 crystal.

Cell: 3.506 3.506 25.386 Å, 90.00 90.00 120.00°
Fractional coordinates of all 9 atoms:
1 Sm 0.000 0.000 0.000
2 Er 0.000 0.000 0.226
3 Er 0.000 0.000 0.433
4 Er 0.000 0.000 0.567
5 Er 0.000 0.000 0.774
6 Er 0.333 0.667 0.115
7 Er 0.333 0.667 0.885
8 Sc 0.333 0.667 0.331
9 Sc 0.333 0.667 0.669

Summary:
**Energy**: -44.22 eV per cell
**Formation energy**: 0.060 eV/atom
**Density**: 7.6 g cm⁻³
**Total moment**: 0.0 μB per formula unit

---

7.
DFT (PBE-GGA) results for a relaxed BeTlTc4 crystal.

Cell: 5.176 5.176 5.176 Å, 60.00 60.00 60.00°
Fractional coordinates of all 6 atoms:
1 Be 0.000 0.000 0.000
2 Tl 0.250 0.250 0.250
3 Tc 0.123 0.626 0.626
4 Tc 0.626 0.123 0.626
5 Tc 0.626 0.626 0.123
6 Tc 0.626 0.626 0.626

Summary:
**Energy**: -43.31 eV per cell
**Formation energy**: 0.707 eV/atom
**Density**: 10.3 g cm⁻³
**Total moment**: 0.0 μB per formula unit

---

8.
DFT (PBE-GGA) results for a relaxed LiTm8Tc2 crystal.

Cell: 7.685 7.685 5.604 Å, 98.50 98.50 111.78°
Fractional coordinates of all 11 atoms:
1 Li 0.000 0.000 0.000
2 Tm 0.068 0.333 0.584
3 Tm 0.244 0.756 0.000
4 Tm 0.333 0.068 0.584
5 Tm 0.390 0.390 0.203
6 Tm 0.610 0.610 0.797
7 Tm 0.667 0.932 0.416
8 Tm 0.756 0.244 0.000
9 Tm 0.932 0.667 0.416
10 Tc 0.313 0.687 0.500
11 Tc 0.687 0.313 0.500

Summary:
**Energy**: -58.62 eV per cell
**Formation energy**: -0.018 eV/atom
**Density**: 8.7 g cm⁻³
**Total moment**: 0.0 μB per formula unit

---

Q: Which of these has the lowest density?
A: Na6ZnAu2